1.
A relaxed structure of LaNdEr3Sc. Source: Alexandria, functional PBE.

Values from the calculation:
Total moment = 0.0001 μB/atom
E_tot = -4.903 eV/atom
DOS at the Fermi energy = 19.77 states/eV/cell

Cell: 7.8848 7.8848 10.0349 Å, 90.00 90.00 142.87°
Closest atoms and distances in Å follow each position.
Positions (direct):
La 0.0017 0.9983 0.7500  4 Nd 3.55, 2 Sc 3.56, 6 Er 3.56-3.61
La 0.9983 0.0017 0.2500  4 Nd 3.55, 2 Sc 3.56, 6 Er 3.56-3.61
Nd 0.5000 0.5000 0.0000  4 La 3.55, 6 Er 3.57-3.59, 2 Sc 3.57
Nd 0.5000 0.5000 0.5000  4 La 3.55, 6 Er 3.57-3.59, 2 Sc 3.57
Er 0.1701 0.8299 0.0008  5 Er 3.45-3.54, 3 Sc 3.46-3.55, 2 La 3.56-3.59, 2 Nd 3.57
Er 0.1701 0.8299 0.4992  5 Er 3.45-3.54, 3 Sc 3.46-3.55, 2 La 3.56-3.59, 2 Nd 3.57
Er 0.3279 0.6721 0.7500  2 Sc 3.44, 6 Er 3.45-3.54, 2 Nd 3.59, 2 La 3.61
Er 0.6721 0.3279 0.2500  2 Sc 3.44, 6 Er 3.45-3.54, 2 Nd 3.59, 2 La 3.61
Er 0.8299 0.1701 0.5008  5 Er 3.45-3.54, 3 Sc 3.46-3.55, 2 La 3.56-3.59, 2 Nd 3.57
Er 0.8299 0.1701 0.9992  5 Er 3.45-3.54, 3 Sc 3.46-3.55, 2 La 3.56-3.59, 2 Nd 3.57
Sc 0.3297 0.6703 0.2500  8 Er 3.44-3.55, 2 La 3.56, 2 Nd 3.57
Sc 0.6703 0.3297 0.7500  8 Er 3.44-3.55, 2 La 3.56, 2 Nd 3.57



2.
A relaxed structure of Tl2NiAuI6. Source: Alexandria, functional PBE.

Values from the calculation:
Total moment = 0.0479 μB/atom
E_tot = -2.574 eV/atom
DOS at the Fermi energy = 13.51 states/eV/cell

Cell: 7.6597 8.8617 13.2703 Å, 90.00 124.33 90.00°
Closest atoms and distances in Å follow each position.
Positions (direct):
Tl 0.2120 0.1160 0.2472  8 I 3.58-3.75
Tl 0.2120 0.3840 0.7472  8 I 3.58-3.75
Tl 0.7880 0.6160 0.2528  8 I 3.58-3.75
Tl 0.7880 0.8840 0.7528  8 I 3.58-3.75
Ni 0.5000 0.0000 0.0000  4 I 2.54-2.62
Ni 0.5000 0.5000 0.5000  4 I 2.54-2.62
Au 0.0000 0.0000 0.5000  4 I 2.68-3.00
Au 0.0000 0.5000 0.0000  4 I 2.68-3.00
I 0.1876 0.1546 0.9608  1 Ni 2.54
I 0.1876 0.3454 0.4608  1 Ni 2.54
I 0.2508 0.6703 0.9647  1 Au 2.68
I 0.2508 0.8297 0.4647  1 Au 2.68
I 0.3459 0.5173 0.2673  1 Ni 2.62
I 0.3459 0.9827 0.7673  1 Ni 2.62
I 0.6541 0.0173 0.2327  1 Ni 2.62
I 0.6541 0.4827 0.7327  1 Ni 2.62
I 0.7492 0.1703 0.5353  1 Au 2.68
I 0.7492 0.3297 0.0353  1 Au 2.68
I 0.8124 0.6546 0.5392  1 Ni 2.54
I 0.8124 0.8454 0.0392  1 Ni 2.54